AlBIr: optimized geometry, PBE-GGA.

The structure belongs to space group F-43m (No. 216); the cell edges are 5.506, 5.506 and 5.506 Å and the angles 90.00°, 90.00° and 90.00°. Symmetry generates all atoms from Al at (0.000, 0.000, 0.000), B at (0.000, 0.000, 0.500) and Ir at (0.250, 0.250, 0.250).

As for the total DFT energy (no corrections): -75.549 eV/cell.